Entry 1:
The following is a PBE calculation of CuNi2Cl after structural relaxation, from the Alexandria database.

Geometry as POSCAR:
```
CuNi2Cl
1.0
2.834 0.000 0.000
0.000 4.091 0.000
0.000 0.000 4.476
Cu Ni Cl
1 2 1
Cartesian
0.000 0.000 0.000
0.000 2.046 2.238
1.417 2.046 0.000
1.417 0.000 2.238
```

---

Entry 2:
The following is a PBE calculation of CuNi2Cl after structural relaxation, from the Alexandria database.

Geometry as POSCAR:
```
CuNi2Cl
1.0
3.997 -1.407 0.000
3.997 1.407 0.000
-3.485 0.000 5.692
Cu Ni Cl
1 2 1
Cartesian
0.000 0.000 0.000
2.207 0.000 0.964
2.302 0.000 4.728
-1.742 0.000 2.846
```

---

Entry 3:
The following is a PBE calculation of CuNiCl2 after structural relaxation, from the Alexandria database.

Geometry as POSCAR:
```
CuNiCl2
1.0
-1.651 3.400 3.406
1.651 -3.400 3.406
1.651 3.400 -3.406
Cu Ni Cl
1 1 2
Cartesian
0.000 0.000 0.000
0.000 3.400 0.000
1.651 1.765 0.000
0.000 1.635 3.406
```

---

| no. | ΔE_f (raw) (kJ/mol of atoms) | calculated density (g/cm³) | total magnetic moment (μB per formula unit) |
| --- | --- | --- | --- |
| 1 | 49.3 | 6.92 | 0.39 |
| 2 | 20.8 | 5.61 | 0.80 |
| 3 | -3.5 | 4.19 | 0.82 |